Below is BaNiPbW2 after structural relaxation, with properties calculated at the PBE level.

Output
The density of states at the Fermi level comes out at 5.93 states/eV/f.u. The value obtained for the calculated formation energy is 3.0044 eV per atom. Its calculated volume is 134.1 Å³/f.u. Its crystal system is tetragonal. As for the uncorrected energy: -22.3 eV/cell.

Unit cell a=5.2642 b=5.2642 c=4.8389 alpha=90.00 beta=90.00 gamma=90.00
Closest atoms and distances in Å follow each position.
Space group P4/mmm (No. 123)
Unique sites:
Ba 0.0000 0.0000 0.0000 [1 per cell]  2 Ni 2.42, 4 W 2.63
Ni 0.0000 0.0000 0.5000 [1 per cell]  2 Ba 2.42
Pb 0.5000 0.5000 0.5000 [1 per cell]  8 W 3.58, 4 Ni 3.72
W 0.0000 0.5000 0.0000 [2 per cell]  2 Ba 2.63